Record 1
Density functional theory data (PBE) for a relaxed MnCo2Ru crystal.

## Properties
The calculation puts the calculated formation energy at 21 kJ per mole of atoms.

Cell lengths 4.1221, 4.1221, 4.1221 Å; angles 60.00, 60.00, 60.00 degrees
Sites, in units of the cell vectors:
Mn: 0.0000 0.0000 0.0000
Co: 0.5000 0.5000 0.5000
Co: 0.7500 0.7500 0.7500
Ru: 0.2500 0.2500 0.2500

Record 2
Density functional theory data (PBE) for a relaxed LaFePt2 crystal.

## Properties
The calculation puts the calculated formation energy at -42 kJ per mole of atoms.

Cell lengths 4.2326, 4.2326, 4.1346 Å; angles 90.00, 90.00, 90.00 degrees
Sites, in units of the cell vectors:
La: 0.0000 0.0000 0.0000
Fe: 0.5000 0.5000 0.0000
Pt: 0.0000 0.5000 0.5000
Pt: 0.5000 0.0000 0.5000

Record 3
Density functional theory data (PBE) for a relaxed LaHoTm2Sb4 crystal.

## Properties
The energy relative to the elements, uncorrected is -1104 meV per atom.

Cell lengths 7.6564, 7.6564, 7.6564 Å; angles 131.75, 131.75, 70.62 degrees
Sites, in units of the cell vectors:
La: 0.0000 0.0000 0.0000
Ho: 0.5000 0.5000 0.0000
Tm: 0.2500 0.7500 0.5000
Tm: 0.7500 0.2500 0.5000
Sb: 0.0000 0.5000 0.5000
Sb: 0.2552 0.2552 0.0000
Sb: 0.5000 0.0000 0.5000
Sb: 0.7448 0.7448 0.0000

Record 4
Density functional theory data (PBE) for a relaxed NaRhAuSe2 crystal.

## Properties
The energy relative to the elements, uncorrected is -41 meV per atom.

Cell lengths 4.8677, 4.8677, 5.2322 Å; angles 90.00, 90.00, 90.00 degrees
Sites, in units of the cell vectors:
Na: 0.0000 0.0000 0.0000
Rh: 0.5000 0.5000 0.5000
Au: 0.5000 0.5000 0.0000
Se: 0.0000 0.5000 0.5000
Se: 0.5000 0.0000 0.5000

Record 5
Density functional theory data (PBE) for a relaxed ZnCdRe2 crystal.

## Properties
The calculation puts the calculated formation energy at 60 kJ per mole of atoms.

Cell lengths 2.6754, 2.6754, 8.9526 Å; angles 90.00, 90.00, 90.00 degrees
Sites, in units of the cell vectors:
Zn: 0.0000 0.0000 0.0000
Cd: 0.0000 0.0000 0.5000
Re: 0.5000 0.5000 0.2337
Re: 0.5000 0.5000 0.7663

Record 6
Density functional theory data (PBE) for a relaxed VTeRu2 crystal.

## Properties
The energy relative to the elements, uncorrected is 549 meV per atom.

Cell lengths 7.1038, 7.1038, 7.1038 Å; angles 135.22, 135.22, 65.18 degrees
Sites, in units of the cell vectors:
V: 0.0000 0.0000 0.0000
V: 0.7500 0.2500 0.5000
Te: 0.2500 0.7500 0.5000
Te: 0.5000 0.5000 0.0000
Ru: 0.0798 0.6250 0.9548
Ru: 0.3750 0.3298 0.4548
Ru: 0.6702 0.1250 0.0452
Ru: 0.8750 0.9202 0.5452

Number 1 is which compound? MnCo2Ru

Repeat the second record exactly.
Density functional theory data (PBE) for a relaxed LaFePt2 crystal.

## Properties
The calculation puts the calculated formation energy at -42 kJ per mole of atoms.

Cell lengths 4.2326, 4.2326, 4.1346 Å; angles 90.00, 90.00, 90.00 degrees
Sites, in units of the cell vectors:
La: 0.0000 0.0000 0.0000
Fe: 0.5000 0.5000 0.0000
Pt: 0.0000 0.5000 0.5000
Pt: 0.5000 0.0000 0.5000